# TcPbSe2N (PBE-GGA, relaxed)
data_TcPbSe2N
_cell_length_a 5.522
_cell_length_b 5.522
_cell_length_c 3.726
_cell_angle_alpha 90.00
_cell_angle_beta 90.00
_cell_angle_gamma 90.00
_space_group_name_H-M_alt 'P 4/m m m'
_space_group_IT_number 123
_space_group_name_Hall '-P 4 2'
loop_
_atom_site_label
_atom_site_type_symbol
_atom_site_fract_x
_atom_site_fract_y
_atom_site_fract_z
_atom_site_occupancy
Tc1 Tc 0.000 0.000 0.000 1
Pb1 Pb 0.500 0.500 0.500 1
Se1 Se 0.000 0.500 0.000 1
N1 N 0.000 0.000 0.500 1
# formation energy from raw total energies: 0.107 eV per atom

# YTiCu (PBE-GGA, relaxed)
data_YTiCu
_cell_length_a 3.941
_cell_length_b 11.160
_cell_length_c 5.652
_cell_angle_alpha 90.00
_cell_angle_beta 90.00
_cell_angle_gamma 90.00
_space_group_name_H-M_alt 'C m c m'
_space_group_IT_number 63
_space_group_name_Hall '-C 2c 2'
loop_
_atom_site_label
_atom_site_type_symbol
_atom_site_fract_x
_atom_site_fract_y
_atom_site_fract_z
_atom_site_occupancy
Y1 Y 0.000 0.197 0.250 1
Ti1 Ti 0.000 0.069 0.750 1
Cu1 Cu 0.000 0.500 0.000 1
# total DFT energy (no corrections): -6.05 eV/atom

# Tb6HgTe3Se2 (PBE-GGA, relaxed)
data_Tb6HgTe3Se2
_cell_length_a 7.385
_cell_length_b 12.748
_cell_length_c 7.491
_cell_angle_alpha 90.00
_cell_angle_beta 109.02
_cell_angle_gamma 90.00
_space_group_name_H-M_alt 'C 1 2/m 1'
_space_group_IT_number 12
_space_group_name_Hall '-C 2y'
loop_
_atom_site_label
_atom_site_type_symbol
_atom_site_fract_x
_atom_site_fract_y
_atom_site_fract_z
_atom_site_occupancy
Tb1 Tb 0.240 0.000 0.227 1
Tb2 Tb 0.244 0.332 0.229 1
Hg1 Hg 0.000 0.500 0.000 1
Te1 Te 0.000 0.000 0.500 1
Te2 Te 0.000 0.334 0.500 1
Se1 Se 0.000 0.166 0.000 1
# formation energy from raw total energies: -1.350 eV per atom

# Ca2C (PBE-GGA, relaxed)
data_Ca2C
_cell_length_a 4.3682
_cell_length_b 4.3682
_cell_length_c 6.9981
_cell_angle_alpha 90.00
_cell_angle_beta 90.00
_cell_angle_gamma 120.00
_space_group_name_H-M_alt 'P 63/m m c'
_space_group_IT_number 194
_space_group_name_Hall '-P 6c 2c'
loop_
_atom_site_label
_atom_site_type_symbol
_atom_site_fract_x
_atom_site_fract_y
_atom_site_fract_z
_atom_site_occupancy
Ca1 Ca 0.0000 0.0000 0.0000 1
Ca2 Ca 0.3333 0.6667 0.2500 1
C1 C 0.3333 0.6667 0.7500 1
# total DFT energy (no corrections): -3.86 eV/atom